(1)
# ZrTlAs2Se, relaxed, DFT PBE-GGA
data_ZrTlAs2Se
_symmetry_space_group_name_H-M 'P 4/m m m'
_symmetry_Int_Tables_number 123
_symmetry_space_group_name_Hall '-P 4 2'
_cell_length_a 5.1409
_cell_length_b 5.1409
_cell_length_c 5.2655
_cell_angle_alpha 90.00
_cell_angle_beta 90.00
_cell_angle_gamma 90.00
loop_
_atom_site_label
_atom_site_type_symbol
_atom_site_fract_x
_atom_site_fract_y
_atom_site_fract_z
Zr1 Zr 0.0000 0.0000 0.0000
Tl1 Tl 0.5000 0.5000 0.5000
As1 As 0.0000 0.5000 0.5000
Se1 Se 0.5000 0.5000 0.0000
# Formation energy without anion corrections: 0.9320 eV per atom
# Energy above the most stable polymorph in this dataset: 1.1227 eV per atom

---

(2)
# EuBN, relaxed, DFT PBE-GGA
data_EuBN
_symmetry_space_group_name_H-M 'I 4 m m'
_symmetry_Int_Tables_number 107
_symmetry_space_group_name_Hall 'I 4 -2'
_cell_length_a 3.9982
_cell_length_b 3.9982
_cell_length_c 6.6146
_cell_angle_alpha 90.00
_cell_angle_beta 90.00
_cell_angle_gamma 90.00
loop_
_atom_site_label
_atom_site_type_symbol
_atom_site_fract_x
_atom_site_fract_y
_atom_site_fract_z
Eu1 Eu 0.0000 0.0000 0.0000
B1 B 0.0000 0.0000 0.4207
N1 N 0.0000 0.0000 0.6175
# Formation energy without anion corrections: -0.5965 eV per atom
# Energy above the most stable polymorph in this dataset: 0.0000 eV per atom

---

(3)
# BaInGe2Mo, relaxed, DFT PBE-GGA
data_BaInGe2Mo
_symmetry_space_group_name_H-M 'P 4/m m m'
_symmetry_Int_Tables_number 123
_symmetry_space_group_name_Hall '-P 4 2'
_cell_length_a 5.7578
_cell_length_b 5.7578
_cell_length_c 6.1221
_cell_angle_alpha 90.00
_cell_angle_beta 90.00
_cell_angle_gamma 90.00
loop_
_atom_site_label
_atom_site_type_symbol
_atom_site_fract_x
_atom_site_fract_y
_atom_site_fract_z
Ba1 Ba 0.0000 0.0000 0.0000
In1 In 0.0000 0.0000 0.5000
Ge1 Ge 0.0000 0.5000 0.0000
Mo1 Mo 0.5000 0.5000 0.5000
# Energy of formation from the pure elements: 1875 meV per atom

---

Number 1: total DFT energy (no corrections) -3.8076 eV/atom. Number 2: total DFT energy (no corrections) -9.0223 eV/atom. Number 3: total DFT energy (no corrections) -3.0705 eV/atom.